Record 1
A plane-wave DFT calculation with PBE was carried out for a relaxed Sc2ReTe crystal.

Its crystal system is tetragonal. The calculation puts the total magnetization at 0.00 μB/cell. The value obtained for the raw formation energy is -0.5 eV per formula unit.

The space group is I-4m2 (No. 119) and the conventional cell measures 4.0582, 4.0582 and 9.5107 Å, with angles of 90.00, 90.00 and 90.00 degrees. The distinct sites, in fractional coordinates, are Sc at (0.0000, 0.0000, 0.0000), Sc at (0.0000, 0.5000, 0.2500), Re at (0.0000, 0.0000, 0.5000) and Te at (0.0000, 0.5000, 0.7500).


Record 2
A plane-wave DFT calculation with PBE was carried out for a relaxed ScReTe2 crystal.

Its energy above the lowest structure with this stoichiometry is 459 meV/atom. Its crystal system is trigonal. The calculation puts the total magnetization at 0.00 μB/cell. The value obtained for the raw formation energy is 1.0 eV per formula unit.

The space group is R-3m (No. 166, hexagonal axes) and the conventional cell measures 3.3609, 3.3609 and 26.4280 Å, with angles of 90.00, 90.00 and 120.00 degrees. The distinct sites, in fractional coordinates, are Sc at (0.0000, 0.0000, 0.0000), Re at (0.0000, 0.0000, 0.5000) and Te at (0.0000, 0.0000, 0.2417).


Record 3
A plane-wave DFT calculation with PBE was carried out for a relaxed Sc2ReTe crystal.

Its crystal system is trigonal. The calculation puts the total magnetization at 1.29 μB/cell. The value obtained for the raw formation energy is 0.9 eV per formula unit.

The space group is R3m (No. 160, hexagonal axes) and the conventional cell measures 3.2644, 3.2644 and 27.8888 Å, with angles of 90.00, 90.00 and 120.00 degrees. The distinct sites, in fractional coordinates, are Sc at (0.0000, 0.0000, 0.0000), Sc at (0.0000, 0.0000, 0.2352), Re at (0.0000, 0.0000, 0.7420) and Te at (0.0000, 0.0000, 0.4799).


Record 4
A plane-wave DFT calculation with PBE was carried out for a relaxed ScRe2Te crystal.

Its crystal system is orthorhombic. The calculation puts the total magnetization at 0.00 μB/cell. The value obtained for the raw formation energy is 1.2 eV per formula unit.

The space group is Immm (No. 71) and the conventional cell measures 3.3702, 4.3058 and 9.8441 Å, with angles of 90.00, 90.00 and 90.00 degrees. The distinct sites, in fractional coordinates, are Sc at (0.0000, 0.0000, 0.0000), Re at (0.0000, 0.5000, 0.2517) and Te at (0.0000, 0.0000, 0.5000).


Record 5
A plane-wave DFT calculation with PBE was carried out for a relaxed ScReTe2 crystal.

Its energy above the lowest structure with this stoichiometry is 143 meV/atom. Its crystal system is orthorhombic. The calculation puts the total magnetization at 0.00 μB/cell. The value obtained for the raw formation energy is -0.3 eV per formula unit.

The space group is Imm2 (No. 44) and the conventional cell measures 3.3858, 4.2927 and 12.1129 Å, with angles of 90.00, 90.00 and 90.00 degrees. The distinct sites, in fractional coordinates, are Sc at (0.0000, 0.0000, 0.0000), Re at (0.0000, 0.5000, 0.2826), Te at (0.0000, 0.0000, 0.6048) and Te at (0.0000, 0.5000, 0.8350).


Record 6
A plane-wave DFT calculation with PBE was carried out for a relaxed ScRe2Te crystal.

Its crystal system is orthorhombic. The calculation puts the total magnetization at 0.00 μB/cell. The value obtained for the raw formation energy is 1.1 eV per formula unit.

The space group is Imm2 (No. 44) and the conventional cell measures 3.2690, 4.5886 and 9.4027 Å, with angles of 90.00, 90.00 and 90.00 degrees. The distinct sites, in fractional coordinates, are Sc at (0.0000, 0.0000, 0.0000), Re at (0.0000, 0.0000, 0.5062), Re at (0.0000, 0.5000, 0.2369) and Te at (0.0000, 0.5000, 0.7673).


Record 7
A plane-wave DFT calculation with PBE was carried out for a relaxed ScReTe2 crystal.

Its energy above the lowest structure with this stoichiometry is 288 meV/atom. Its crystal system is cubic. The calculation puts the total magnetization at 4.38 μB/cell. The value obtained for the raw formation energy is 0.3 eV per formula unit.

The space group is Fm-3m (No. 225) and the conventional cell measures 6.8786, 6.8786 and 6.8786 Å, with angles of 90.00, 90.00 and 90.00 degrees. The distinct sites, in fractional coordinates, are Sc at (0.0000, 0.0000, 0.0000), Re at (0.0000, 0.0000, 0.5000) and Te at (0.2500, 0.2500, 0.2500).


Record 8
A plane-wave DFT calculation with PBE was carried out for a relaxed ScRe2Te crystal.

Its crystal system is monoclinic. The calculation puts the total magnetization at 0.00 μB/cell. The value obtained for the raw formation energy is 1.0 eV per formula unit.

The space group is Cm (No. 8) and the conventional cell measures 10.0086, 3.2311 and 4.8498 Å, with angles of 90.00, 110.01 and 90.00 degrees. The distinct sites, in fractional coordinates, are Sc at (0.0000, 0.0000, 0.0000), Re at (0.0125, 0.5000, 0.5397), Re at (0.2217, 0.0000, 0.6465) and Te at (0.2716, 0.5000, 0.2267).